(1)
This record from Alexandria via LeMat-Bulk describes a relaxed structure of BiPdF2. The functional is GGA-PBE.

Computed properties:
Offset from the most stable computed form in meV/atom: 184
Space group: R-3m, No. 166
N(E_F) in states/eV/cell: 2.5
Magnetization in μB per atom: 0.00
Uncorrected formation energy in eV/atom: -0.954

abc: 8.2262 8.2262 8.2262
angles: 22.41 22.41 22.41
Element x y z (fractional)
Bi 0.0000 0.0000 0.0000
Pd 0.5000 0.5000 0.5000
F 0.4142 0.4142 0.4142
F 0.5858 0.5858 0.5858

(2)
This record from Alexandria via LeMat-Bulk describes a relaxed structure of BiPdF2. The functional is GGA-PBE.

Computed properties:
Offset from the most stable computed form in meV/atom: 305
Space group: R-3m, No. 166
N(E_F) in states/eV/cell: 4.5
Magnetization in μB per atom: 0.25
Uncorrected formation energy in eV/atom: -0.833

abc: 7.7140 7.7140 7.7140
angles: 25.88 25.88 25.88
Element x y z (fractional)
Bi 0.0000 0.0000 0.0000
Pd 0.5000 0.5000 0.5000
F 0.1047 0.1047 0.1047
F 0.8953 0.8953 0.8953

Look up the uncorrected formation energy of the second one.
-0.833 eV/atom

The highest uncorrected formation energy belongs to which entry?
number 2